(1)
SrCa2Tl: optimized geometry, GGA-PBE.

```
data_SrCa2Tl
_symmetry_space_group_name_H-M 'P 1'
_symmetry_Int_Tables_number 1
_cell_length_a 7.185
_cell_length_b 7.185
_cell_length_c 7.185
_cell_angle_alpha 146.97
_cell_angle_beta 130.31
_cell_angle_gamma 60.97
loop_
_symmetry_equiv_pos_as_xyz
'x,y,z'
loop_
_atom_site_label
_atom_site_fract_x
_atom_site_fract_y
_atom_site_fract_z
_atom_site_occupancy
Sr1 0.000 0.000 0.000 1
Ca1 0.293 0.793 0.500 1
Ca2 0.707 0.207 0.500 1
Tl1 0.500 0.500 0.000 1
```

Values from the calculation:
space group = Immm
ΔE to the lowest computed polymorph = 31 meV/atom
energy of formation from the pure elements = -0.221 eV per atom
DFT total energy = -2.234 eV/atom



(2)
SrCaTl2: optimized geometry, GGA-PBE.

```
data_SrCaTl2
_symmetry_space_group_name_H-M 'P 1'
_symmetry_Int_Tables_number 1
_cell_length_a 3.987
_cell_length_b 3.987
_cell_length_c 8.025
_cell_angle_alpha 90.00
_cell_angle_beta 90.00
_cell_angle_gamma 90.00
loop_
_symmetry_equiv_pos_as_xyz
'x,y,z'
loop_
_atom_site_label
_atom_site_fract_x
_atom_site_fract_y
_atom_site_fract_z
_atom_site_occupancy
Sr1 0.000 0.000 0.000 1
Ca1 0.000 0.000 0.500 1
Tl1 0.500 0.500 0.274 1
Tl2 0.500 0.500 0.726 1
```

Values from the calculation:
space group = P4/mmm
energy of formation from the pure elements = -0.439 eV per atom
DFT total energy = -2.543 eV/atom



(3)
Sr2CaTl2: optimized geometry, GGA-PBE.

```
data_Sr2CaTl2
_symmetry_space_group_name_H-M 'P 1'
_symmetry_Int_Tables_number 1
_cell_length_a 9.725
_cell_length_b 9.725
_cell_length_c 3.839
_cell_angle_alpha 90.00
_cell_angle_beta 90.00
_cell_angle_gamma 90.00
loop_
_symmetry_equiv_pos_as_xyz
'x,y,z'
loop_
_atom_site_label
_atom_site_fract_x
_atom_site_fract_y
_atom_site_fract_z
_atom_site_occupancy
Sr1 0.137 0.363 0.000 1
Sr2 0.363 0.863 0.000 1
Sr3 0.637 0.137 0.000 1
Sr4 0.863 0.637 0.000 1
Ca1 0.000 0.000 0.000 1
Ca2 0.500 0.500 0.000 1
Tl1 0.161 0.661 0.500 1
Tl2 0.339 0.161 0.500 1
Tl3 0.661 0.839 0.500 1
Tl4 0.839 0.339 0.500 1
```

Values from the calculation:
space group = P4/mbm
ΔE to the lowest computed polymorph = 115 meV/atom
energy of formation from the pure elements = -0.235 eV per atom
DFT total energy = -2.255 eV/atom



(4)
Sr4CaTl3: optimized geometry, GGA-PBE.

```
data_Sr4CaTl3
_symmetry_space_group_name_H-M 'P 1'
_symmetry_Int_Tables_number 1
_cell_length_a 5.840
_cell_length_b 5.840
_cell_length_c 8.578
_cell_angle_alpha 90.00
_cell_angle_beta 90.00
_cell_angle_gamma 90.00
loop_
_symmetry_equiv_pos_as_xyz
'x,y,z'
loop_
_atom_site_label
_atom_site_fract_x
_atom_site_fract_y
_atom_site_fract_z
_atom_site_occupancy
Sr1 0.000 0.500 0.230 1
Sr2 0.000 0.500 0.770 1
Sr3 0.500 0.000 0.230 1
Sr4 0.500 0.000 0.770 1
Ca1 0.000 0.000 0.500 1
Tl1 0.000 0.000 0.000 1
Tl2 0.500 0.500 0.000 1
Tl3 0.500 0.500 0.500 1
```

Values from the calculation:
space group = P4/mmm
energy of formation from the pure elements = -0.304 eV per atom
DFT total energy = -2.282 eV/atom



(5)
Sr3CaTl4: optimized geometry, GGA-PBE.

```
data_Sr3CaTl4
_symmetry_space_group_name_H-M 'P 1'
_symmetry_Int_Tables_number 1
_cell_length_a 4.039
_cell_length_b 4.039
_cell_length_c 16.270
_cell_angle_alpha 90.00
_cell_angle_beta 90.00
_cell_angle_gamma 90.00
loop_
_symmetry_equiv_pos_as_xyz
'x,y,z'
loop_
_atom_site_label
_atom_site_fract_x
_atom_site_fract_y
_atom_site_fract_z
_atom_site_occupancy
Sr1 0.000 0.000 0.000 1
Sr2 0.000 0.000 0.256 1
Sr3 0.000 0.000 0.744 1
Ca1 0.000 0.000 0.500 1
Tl1 0.500 0.500 0.124 1
Tl2 0.500 0.500 0.389 1
Tl3 0.500 0.500 0.611 1
Tl4 0.500 0.500 0.876 1
```

Values from the calculation:
space group = P4/mmm
energy of formation from the pure elements = -0.430 eV per atom
DFT total energy = -2.494 eV/atom



(6)
Sr3Ca5Tl2: optimized geometry, GGA-PBE.

```
data_Sr3Ca5Tl2
_symmetry_space_group_name_H-M 'P 1'
_symmetry_Int_Tables_number 1
_cell_length_a 12.333
_cell_length_b 12.333
_cell_length_c 5.327
_cell_angle_alpha 90.00
_cell_angle_beta 90.00
_cell_angle_gamma 90.00
loop_
_symmetry_equiv_pos_as_xyz
'x,y,z'
loop_
_atom_site_label
_atom_site_fract_x
_atom_site_fract_y
_atom_site_fract_z
_atom_site_occupancy
Sr1 0.000 0.000 0.000 1
Sr2 0.169 0.331 0.000 1
Sr3 0.331 0.831 0.000 1
Sr4 0.500 0.500 0.000 1
Sr5 0.669 0.169 0.000 1
Sr6 0.831 0.669 0.000 1
Ca1 0.000 0.500 0.500 1
Ca2 0.076 0.783 0.500 1
Ca3 0.217 0.076 0.500 1
Ca4 0.283 0.576 0.500 1
Ca5 0.424 0.283 0.500 1
Ca6 0.500 0.000 0.500 1
Ca7 0.576 0.717 0.500 1
Ca8 0.717 0.424 0.500 1
Ca9 0.783 0.924 0.500 1
Ca10 0.924 0.217 0.500 1
Tl1 0.123 0.623 0.000 1
Tl2 0.377 0.123 0.000 1
Tl3 0.623 0.877 0.000 1
Tl4 0.877 0.377 0.000 1
```

Values from the calculation:
space group = P4/mbm
energy of formation from the pure elements = -0.179 eV per atom
DFT total energy = -2.157 eV/atom



(7)
Sr12Ca3Tl: optimized geometry, GGA-PBE.

```
data_Sr12Ca3Tl
_symmetry_space_group_name_H-M 'P 1'
_symmetry_Int_Tables_number 1
_cell_length_a 5.894
_cell_length_b 5.894
_cell_length_c 22.523
_cell_angle_alpha 90.00
_cell_angle_beta 90.00
_cell_angle_gamma 90.00
loop_
_symmetry_equiv_pos_as_xyz
'x,y,z'
loop_
_atom_site_label
_atom_site_fract_x
_atom_site_fract_y
_atom_site_fract_z
_atom_site_occupancy
Sr1 0.000 0.000 0.000 1
Sr2 0.000 0.000 0.237 1
Sr3 0.000 0.000 0.500 1
Sr4 0.000 0.000 0.763 1
Sr5 0.000 0.500 0.107 1
Sr6 0.000 0.500 0.370 1
Sr7 0.000 0.500 0.630 1
Sr8 0.000 0.500 0.893 1
Sr9 0.500 0.000 0.107 1
Sr10 0.500 0.000 0.370 1
Sr11 0.500 0.000 0.630 1
Sr12 0.500 0.000 0.893 1
Ca1 0.500 0.500 0.240 1
Ca2 0.500 0.500 0.500 1
Ca3 0.500 0.500 0.760 1
Tl1 0.500 0.500 0.000 1
```

Values from the calculation:
space group = P4/mmm
energy of formation from the pure elements = -0.021 eV per atom
DFT total energy = -1.806 eV/atom



(8)
SrCa2Tl: optimized geometry, GGA-PBE.

```
data_SrCa2Tl
_symmetry_space_group_name_H-M 'P 1'
_symmetry_Int_Tables_number 1
_cell_length_a 4.022
_cell_length_b 4.090
_cell_length_c 9.337
_cell_angle_alpha 90.00
_cell_angle_beta 90.17
_cell_angle_gamma 90.00
loop_
_symmetry_equiv_pos_as_xyz
'x,y,z'
loop_
_atom_site_label
_atom_site_fract_x
_atom_site_fract_y
_atom_site_fract_z
_atom_site_occupancy
Sr1 0.000 0.000 0.000 1
Ca1 0.000 0.000 0.596 1
Ca2 0.500 0.500 0.316 1
Tl1 0.500 0.500 0.776 1
```

Values from the calculation:
space group = Pm
ΔE to the lowest computed polymorph = 32 meV/atom
energy of formation from the pure elements = -0.220 eV per atom
DFT total energy = -2.233 eV/atom



(9)
SrCa2Tl: optimized geometry, GGA-PBE.

```
data_SrCa2Tl
_symmetry_space_group_name_H-M 'P 1'
_symmetry_Int_Tables_number 1
_cell_length_a 5.874
_cell_length_b 5.874
_cell_length_c 5.874
_cell_angle_alpha 119.96
_cell_angle_beta 119.96
_cell_angle_gamma 90.07
loop_
_symmetry_equiv_pos_as_xyz
'x,y,z'
loop_
_atom_site_label
_atom_site_fract_x
_atom_site_fract_y
_atom_site_fract_z
_atom_site_occupancy
Sr1 0.000 0.000 0.000 1
Ca1 0.500 0.500 0.000 1
Ca2 0.750 0.250 0.500 1
Tl1 0.250 0.750 0.500 1
```

Values from the calculation:
space group = I-4m2
ΔE to the lowest computed polymorph = 95 meV/atom
energy of formation from the pure elements = -0.157 eV per atom
DFT total energy = -2.170 eV/atom



(10)
Sr2CaTl2: optimized geometry, GGA-PBE.

```
data_Sr2CaTl2
_symmetry_space_group_name_H-M 'P 1'
_symmetry_Int_Tables_number 1
_cell_length_a 8.170
_cell_length_b 8.170
_cell_length_c 8.170
_cell_angle_alpha 143.15
_cell_angle_beta 143.15
_cell_angle_gamma 53.10
loop_
_symmetry_equiv_pos_as_xyz
'x,y,z'
loop_
_atom_site_label
_atom_site_fract_x
_atom_site_fract_y
_atom_site_fract_z
_atom_site_occupancy
Sr1 0.250 0.750 0.500 1
Sr2 0.750 0.250 0.500 1
Ca1 0.000 0.000 0.000 1
Tl1 0.402 0.402 0.000 1
Tl2 0.598 0.598 0.000 1
```

Values from the calculation:
space group = I4/mmm
ΔE to the lowest computed polymorph = 209 meV/atom
energy of formation from the pure elements = -0.142 eV per atom
DFT total energy = -2.161 eV/atom



(11)
SrCa2Tl: optimized geometry, GGA-PBE.

```
data_SrCa2Tl
_symmetry_space_group_name_H-M 'P 1'
_symmetry_Int_Tables_number 1
_cell_length_a 11.813
_cell_length_b 11.813
_cell_length_c 11.813
_cell_angle_alpha 19.48
_cell_angle_beta 19.48
_cell_angle_gamma 19.48
loop_
_symmetry_equiv_pos_as_xyz
'x,y,z'
loop_
_atom_site_label
_atom_site_fract_x
_atom_site_fract_y
_atom_site_fract_z
_atom_site_occupancy
Sr1 0.000 0.000 0.000 1
Ca1 0.236 0.236 0.236 1
Ca2 0.432 0.432 0.432 1
Tl1 0.834 0.834 0.834 1
```

Values from the calculation:
space group = R3m
ΔE to the lowest computed polymorph = 124 meV/atom
energy of formation from the pure elements = -0.128 eV per atom
DFT total energy = -2.141 eV/atom



(12)
Sr2Ca3Tl4: optimized geometry, GGA-PBE.

```
data_Sr2Ca3Tl4
_symmetry_space_group_name_H-M 'P 1'
_symmetry_Int_Tables_number 1
_cell_length_a 5.615
_cell_length_b 5.615
_cell_length_c 10.947
_cell_angle_alpha 90.15
_cell_angle_beta 90.15
_cell_angle_gamma 59.87
loop_
_symmetry_equiv_pos_as_xyz
'x,y,z'
loop_
_atom_site_label
_atom_site_fract_x
_atom_site_fract_y
_atom_site_fract_z
_atom_site_occupancy
Sr1 0.167 0.167 0.212 1
Sr2 0.833 0.833 0.788 1
Ca1 0.166 0.166 0.588 1
Ca2 0.500 0.500 0.000 1
Ca3 0.834 0.834 0.412 1
Tl1 0.167 0.167 0.900 1
Tl2 0.499 0.499 0.648 1
Tl3 0.501 0.501 0.352 1
Tl4 0.833 0.833 0.100 1
```

Values from the calculation:
space group = C2/m
ΔE to the lowest computed polymorph = 0 meV/atom
energy of formation from the pure elements = -0.365 eV per atom
DFT total energy = -2.457 eV/atom